DFT (GGA+U) results for MnPOsO2 after structural relaxation.

Summary:
energy relative to the lowest polymorph listed for this composition: 0 meV/atom
total magnetic moment: 3.99 μB per cell
total DFT energy (no corrections): -7.25 eV/atom

a = 3.7632 Å, b = 3.7632 Å, c = 5.3068 Å
α = 90.00°, β = 90.00°, γ = 90.00°
Space group P4/mmm (No. 123)
Asymmetric unit:
Mn 0.0000 0.0000 0.0000 x1
P 0.5000 0.5000 0.0000 x1
Os 0.5000 0.5000 0.5000 x1
O 0.0000 0.5000 0.5000 x2